Record 1
The following is a GGA-PBE calculation of crystalline Ta2AsPb at its relaxed geometry, from the Alexandria database.

- magnetic moment (μB per cell) = 0.00
- formation energy (eV per atom) = 0.38
- symmetry = No. 225

POSCAR file:
```
Ta2AsPb
1.0
-4.451 -1.655 -0.024
-3.291 2.078 -2.721
-1.676 -2.248 -3.833
Ta Pb As
2 1 1
Cartesian
-7.064 -1.369 -4.934
-2.355 -0.456 -1.645
-4.709 -0.913 -3.289
0.000 0.000 0.000
```


Record 2
The following is a GGA-PBE calculation of crystalline TiV2Au at its relaxed geometry, from the Alexandria database.

- magnetic moment (μB per cell) = 0.00
- formation energy (eV per atom) = 0.12
- symmetry = No. 225

POSCAR file:
```
TiV2Au
1.0
-2.916 1.428 2.989
-2.354 3.650 -0.782
-4.327 -0.298 -0.820
V Ti Au
2 1 1
Cartesian
-7.198 3.585 1.040
-2.399 1.195 0.347
0.000 0.000 0.000
-4.798 2.390 0.694
```


Record 3
The following is a GGA-PBE calculation of crystalline RbHg2GeO4 at its relaxed geometry, from the Alexandria database.

- uncorrected formation energy (meV per atom) = -1007.9
- magnetic moment (μB per cell) = 0.00
- symmetry = No. 121

POSCAR file:
```
RbHg2GeO4
1.0
-3.929 -1.415 -4.398
1.044 -4.201 -3.762
-4.752 -3.038 1.041
Hg Rb O Ge
2 1 4 1
Cartesian
-5.266 -4.037 -2.361
-2.372 -4.618 -4.759
0.000 0.000 0.000
-5.648 -6.447 -6.876
-3.352 -2.698 -1.770
-0.433 -2.520 -1.534
-5.841 -5.644 -4.060
-1.854 -3.620 -1.361
```


Record 4
The following is a GGA-PBE calculation of crystalline ScMnZn11 at its relaxed geometry, from the Alexandria database.

- magnetic moment (μB per cell) = 3.15
- formation energy (eV per atom) = -0.10
- symmetry = No. 12

POSCAR file:
```
ScMnZn11
1.0
0.550 2.296 4.657
1.167 -4.358 5.012
6.368 1.660 1.356
Zn Mn Sc
11 1 1
Cartesian
0.583 -2.179 2.506
5.529 1.523 4.491
3.184 0.830 0.678
5.128 -0.924 5.813
5.124 1.829 7.237
2.961 -2.231 3.787
2.555 -1.925 6.533
2.956 0.522 5.211
3.459 1.978 3.006
6.307 -0.485 8.307
1.777 0.083 2.718
0.858 -1.031 4.834
0.000 0.000 0.000
```


Record 5
The following is a GGA-PBE calculation of crystalline Mg16Zn12Pd at its relaxed geometry, from the Alexandria database.

- magnetic moment (μB per cell) = 0.00
- formation energy (eV per atom) = -0.13
- symmetry = No. 8

POSCAR file:
```
Mg16Zn12Pd
1.0
-7.698 3.160 -2.247
0.638 -7.871 -3.455
1.014 -0.272 9.485
Zn Mg Pd
12 16 1
Cartesian
-2.729 -0.306 -1.256
-7.220 0.039 -1.796
-5.255 0.826 5.456
-2.162 -6.655 -2.528
-5.238 -2.545 2.097
-0.510 -7.336 -0.709
-5.594 -3.865 -3.315
-3.670 -4.621 1.870
-3.550 -3.127 4.062
-7.220 1.543 0.262
-0.105 -5.989 4.710
-1.184 -2.351 -1.479
-2.327 -1.895 1.252
-4.541 -5.544 -1.374
-0.973 -4.038 2.930
-1.310 -1.496 4.622
0.669 -0.219 6.622
-4.209 -5.875 -4.861
-5.111 -0.474 0.306
-4.744 -1.203 -2.856
-0.019 -0.019 0.041
-1.845 -4.797 -0.167
-7.289 -1.799 -4.415
-6.701 -2.685 -1.061
-1.645 -6.829 2.216
-3.820 -0.271 3.342
-6.746 -0.078 2.955
-2.768 -3.817 -3.143
-3.979 -2.932 -0.684
```


Record 6
The following is a GGA-PBE calculation of crystalline La5Pm2Ga4 at its relaxed geometry, from the Alexandria database.

- magnetic moment (μB per cell) = 0.00
- formation energy (eV per atom) = -0.30
- symmetry = No. 71

POSCAR file:
```
La5Pm2Ga4
1.0
-0.499 4.217 -0.223
-5.773 -0.952 -5.097
-3.782 -2.033 10.571
La Ga Pm
5 4 2
Cartesian
-3.531 -0.343 1.419
-0.249 2.108 -0.111
-6.719 -0.869 -1.396
-3.335 2.100 6.648
-6.524 1.575 3.833
-3.937 -0.228 4.503
-4.070 -0.671 -3.593
-6.117 1.460 0.749
-1.703 -0.281 -1.504
-5.882 -0.341 6.727
-4.172 1.572 -1.475
```